Below is an optimized crystal structure of LiCeTaN3, with properties calculated at the PBE level.

extended XYZ file:
```
12
Lattice="3.2156 0.0000 0.0000 0.0000 6.7192 0.0011 0.0000 -1.7696 6.6790" Properties=species:S:1:pos:R:3 pbc="T T T"
N 2.4117 2.7173 1.0584
Li 2.4117 5.4529 2.7570
N 0.8039 -0.6998 5.7951
Li 0.8039 -0.5032 3.9231
Ta 2.4117 0.7601 5.4905
Ta 0.8039 4.1896 1.1896
N 2.4117 0.5370 3.5171
N 0.8039 4.4127 3.1630
Ce 2.4117 4.0178 5.1608
N 2.4117 5.6495 0.8850
N 0.8039 2.2324 5.6217
Ce 0.8039 0.9318 1.5193
```

The space group is P2_1/m, No. 11. The calculation puts the uncorrected formation energy at -1103 meV per atom. Its magnetization is 0.40 μB per formula unit.